A relaxed structure of K2NdMnO4. Source: Alexandria via LeMat-Bulk, functional GGA+U.

Uncorrected energy: -200.58 eV per cell
Volume: 16.62 Å³ per atom
Magnetization: 4.0 μB per formula unit

abc: 9.7647 9.5480 7.3568
angles: 90.00 129.17 90.00
With the nearest neighbours (Å) after each atom.
Space group C2/c (No. 15)
Inequivalent atoms, fractional coordinates:
1 K 0.0000 0.0000 0.0000 x4  4 O 2.56-2.60
2 K 0.2500 0.2500 0.0000 x4  4 O 2.60-2.82
3 Nd 0.0000 0.5000 0.0000 x4  6 O 2.35-2.47
4 Mn 0.2500 0.2500 0.5000 x4  4 O 1.95-2.03
5 O 0.0759 0.2613 0.5495 x8  1 Mn 1.95
6 O 0.2062 0.4579 0.4277 x8  1 Mn 2.03